The following is a GGA-PBE calculation of a relaxed CdRe2Rh crystal, from the Alexandria database.

The structure in POSCAR format:
```
CdRe2Rh
1.0
3.083 0.000 0.000
0.000 4.344 0.000
0.000 0.000 4.744
Cd Re Rh
1 2 1
Cartesian
0.000 2.172 2.372
0.000 0.000 0.000
1.542 2.172 0.000
1.542 0.000 2.372
```

Output
total magnetic moment	0.0	Bohr magnetons per cell
symmetry	Pmmm
E_form	44.1	kJ/mol of atoms
density of states at the Fermi level	2.95	states/eV/f.u.